VASP calculation (PBE) on a relaxed Ca2PuGe2Rh5 crystal.

Geometry as POSCAR:
```
Ca2PuGe2Rh5
1.0
-0.037 -3.625 -0.352
2.384 -0.960 9.626
-9.673 -0.132 2.382
Ge Ca Rh Pu
4 4 10 2
direct
0.000 0.875 0.375
0.000 0.625 0.875
0.000 0.375 0.125
0.000 0.125 0.625
0.000 0.172 0.328
0.000 0.328 0.828
0.000 0.672 0.172
0.000 0.828 0.672
0.500 0.070 0.790
0.500 0.430 0.290
0.500 0.500 0.000
0.500 0.710 0.430
0.500 0.290 0.570
0.500 0.930 0.210
0.500 0.210 0.070
0.500 0.790 0.930
0.500 0.570 0.710
0.500 0.000 0.500
0.000 0.500 0.500
0.000 0.000 0.000
```

Values from the calculation:
ΔH_f (0 K): -607 meV/atom